First-principles (PBE) data for YZnCuPb after structural relaxation, as listed in Alexandria.

Uncorrected energy in eV per atom: -4.03

a b c (Å): 6.9661 6.9661 6.9661
angles (deg): 90.00 90.00 90.00
Closest atoms and distances in Å follow each position.
Space group F-43m (No. 216)
Unique sites:
1 Y 0.0000 0.0000 0.0000  4 Cu 3.02, 4 Zn 3.02
2 Zn 0.2500 0.2500 0.7500  4 Y 3.02, 4 Pb 3.02
3 Cu 0.2500 0.2500 0.2500  4 Pb 3.02, 4 Y 3.02
4 Pb 0.0000 0.0000 0.5000  4 Cu 3.02, 4 Zn 3.02

***

First-principles (PBE) data for RbMg6Hg12 after structural relaxation, as listed in Alexandria.

Uncorrected energy in eV per atom: -0.87

a b c (Å): 14.4662 14.4662 7.8845
angles (deg): 90.00 90.00 120.00
Closest atoms and distances in Å follow each position.
Space group R-3 (No. 148, hexagonal axes)
Unique sites:
1 Rb 0.0000 0.0000 0.0000  12 Hg 3.58-3.70
2 Mg 0.0089 0.7490 0.2888  7 Hg 2.94-3.24, 2 Mg 3.28
3 Hg 0.0216 0.1592 0.3613  3 Mg 2.94-3.24, 4 Hg 3.08-3.09
4 Hg 0.0421 0.4845 0.6995  4 Mg 2.95-3.08, 2 Hg 3.08-3.09

***

First-principles (PBE) data for NdSm5Ho3 after structural relaxation, as listed in Alexandria.

Uncorrected energy in eV per atom: -4.50

a b c (Å): 16.4165 6.7543 11.5618
angles (deg): 90.00 109.89 90.00
Closest atoms and distances in Å follow each position.
Space group C2/c (No. 15)
Unique sites:
1 Nd 0.0000 0.2399 0.2500  1 Sm 3.01, 2 Ho 3.31
2 Sm 0.0000 0.3140 0.7500  1 Nd 3.01, 2 Sm 3.05
3 Sm 0.1109 0.4961 0.0508  4 Sm 3.41-3.62, 5 Ho 3.51-3.81, 2 Nd 3.78-3.80
4 Sm 0.1721 0.0938 0.8499  2 Sm 3.05-3.41, 2 Ho 3.33
5 Ho 0.0000 0.0000 0.0000  2 Nd 3.31, 2 Sm 3.59
6 Ho 0.2401 0.3985 0.3710  7 Sm 3.33-3.65, 1 Ho 3.52

***

First-principles (PBE) data for TlReP2 after structural relaxation, as listed in Alexandria.

Uncorrected energy in eV per atom: -6.00

a b c (Å): 3.1951 5.0847 9.5871
angles (deg): 90.00 90.00 90.00
Closest atoms and distances in Å follow each position.
Space group Cmmm (No. 65)
Unique sites:
1 Tl 0.0000 0.0000 0.0000  6 Tl 3.00-3.20
2 Re 0.0000 0.0000 0.5000  4 P 2.41
3 P 0.0000 0.5000 0.3122  2 Re 2.41

***

First-principles (PBE) data for Y2HgHPd after structural relaxation, as listed in Alexandria.

Uncorrected energy in eV per atom: -4.97

a b c (Å): 5.1045 5.1045 3.7333
angles (deg): 90.00 90.00 90.00
Closest atoms and distances in Å follow each position.
Space group P4/mmm (No. 123)
Unique sites:
1 Y 0.0000 0.5000 0.0000  2 H 2.55
2 Hg 0.0000 0.0000 0.5000  8 Y 3.16
3 H 0.5000 0.5000 0.0000  2 Pd 1.87
4 Pd 0.5000 0.5000 0.5000  2 H 1.87

***

First-principles (PBE) data for TaSb2Cl after structural relaxation, as listed in Alexandria.

Formation energy from raw total energies in meV per atom: 622
Uncorrected energy in eV per atom: -4.86

a b c (Å): 4.2084 4.2084 5.1291
angles (deg): 90.00 90.00 90.00
Closest atoms and distances in Å follow each position.
Space group P4/mmm (No. 123)
Unique sites:
1 Ta 0.0000 0.0000 0.0000  4 Cl 2.98, 8 Sb 3.32
2 Sb 0.0000 0.5000 0.5000  4 Sb 2.98, 4 Ta 3.32, 4 Cl 3.32
3 Cl 0.5000 0.5000 0.0000  4 Ta 2.98, 8 Sb 3.32

***

First-principles (PBE) data for LiPuCoIr after structural relaxation, as listed in Alexandria.

Uncorrected energy in eV per atom: -8.18

a b c (Å): 6.3505 6.3505 6.3505
angles (deg): 90.00 90.00 90.00
Closest atoms and distances in Å follow each position.
Space group F-43m (No. 216)
Unique sites:
1 Li 0.0000 0.0000 0.0000  4 Co 2.75, 4 Ir 2.75
2 Pu 0.0000 0.0000 0.5000  4 Co 2.75, 4 Ir 2.75
3 Co 0.2500 0.2500 0.2500  4 Li 2.75, 4 Pu 2.75
4 Ir 0.2500 0.2500 0.7500  4 Li 2.75, 4 Pu 2.75

***

First-principles (PBE) data for BiP after structural relaxation, as listed in Alexandria.

Uncorrected energy in eV per atom: -4.28

a b c (Å): 6.5083 6.5083 6.5083
angles (deg): 90.00 90.00 90.00
Closest atoms and distances in Å follow each position.
Space group F-43m (No. 216)
Unique sites:
1 Bi 0.0000 0.0000 0.0000  4 P 2.82
2 P 0.2500 0.2500 0.2500  4 Bi 2.82

***

First-principles (PBE) data for K3LuF6 after structural relaxation, as listed in Alexandria.

Formation energy from raw total energies in meV per atom: -3388
Uncorrected energy in eV per atom: -5.29

a b c (Å): 6.3344 6.5735 10.9835
angles (deg): 90.00 124.54 90.00
Closest atoms and distances in Å follow each position.
Space group P2_1/c (No. 14)
Unique sites:
1 K 0.0000 0.0000 0.0000  6 F 2.61-2.69
2 K 0.2270 0.0515 0.7440  5 F 2.66-2.91
3 Lu 0.5000 0.0000 0.5000  6 F 2.13-2.14
4 F 0.1801 0.1766 0.4517  1 Lu 2.13
5 F 0.2608 0.7359 0.4282  1 Lu 2.14
6 F 0.3935 0.0567 0.2808  1 Lu 2.13

***

First-principles (PBE) data for MnCuBr5 after structural relaxation, as listed in Alexandria.

Formation energy from raw total energies in meV per atom: -462
Uncorrected energy in eV per atom: -3.55

a b c (Å): 7.2443 13.2902 9.3612
angles (deg): 90.00 108.44 90.00
Closest atoms and distances in Å follow each position.
Space group C2/c (No. 15)
Unique sites:
1 Mn 0.2500 0.2500 0.0000  6 Br 2.46-2.66
2 Cu 0.0000 0.2243 0.2500  4 Br 2.44-2.46
3 Br 0.0000 0.1758 0.7500  2 Mn 2.66
4 Br 0.0073 0.3484 0.4461  1 Cu 2.46, 1 Mn 2.46
5 Br 0.1732 0.1066 0.1372  1 Cu 2.44, 1 Mn 2.46

***

First-principles (PBE) data for K2ScPdF6 after structural relaxation, as listed in Alexandria.

Formation energy from raw total energies in meV per atom: -2790
Uncorrected energy in eV per atom: -5.29

a b c (Å): 5.9490 9.7157 6.0827
angles (deg): 90.00 90.00 90.00
Closest atoms and distances in Å follow each position.
Space group Pmmn (No. 59, origin choice 2)
Unique sites:
1 K 0.2500 0.0090 0.2381  5 F 2.77-3.05
2 Sc 0.2500 0.7500 0.7858  6 F 2.01-2.03
3 Pd 0.2500 0.2500 0.7124  4 F 2.22-2.23
4 F 0.0032 0.7500 0.5557  1 Sc 2.03, 1 Pd 2.22
5 F 0.0118 0.7500 0.0257  1 Sc 2.03, 1 Pd 2.23
6 F 0.2500 0.5427 0.7903  1 Sc 2.01

***

First-principles (PBE) data for Hf2BeAuC after structural relaxation, as listed in Alexandria.

Uncorrected energy in eV per atom: -7.69

a b c (Å): 4.6212 4.6212 3.5119
angles (deg): 90.00 90.00 90.00
Closest atoms and distances in Å follow each position.
Space group P4/mmm (No. 123)
Unique sites:
1 Hf 0.0000 0.5000 0.0000  2 C 2.31
2 Be 0.0000 0.0000 0.5000  2 C 1.76
3 Au 0.5000 0.5000 0.5000  8 Hf 2.90
4 C 0.0000 0.0000 0.0000  2 Be 1.76

***

First-principles (PBE) data for Pr2HoSc after structural relaxation, as listed in Alexandria.

Uncorrected energy in eV per atom: -5.07

a b c (Å): 12.0694 7.2461 6.0355
angles (deg): 90.00 106.23 90.00
Closest atoms and distances in Å follow each position.
Space group C2/m (No. 12)
Unique sites:
1 Pr 0.1247 0.2467 0.2502  4 Sc 3.49-3.54, 4 Ho 3.51-3.55, 4 Pr 3.58-3.67
2 Ho 0.1261 0.5000 0.7544  8 Pr 3.51-3.55, 3 Sc 3.62, 1 Ho 3.67
3 Sc 0.1241 0.0000 0.7462  8 Pr 3.49-3.54, 1 Sc 3.58, 3 Ho 3.62

***

First-principles (PBE) data for BePd2Pt after structural relaxation, as listed in Alexandria.

Uncorrected energy in eV per atom: -5.36

a b c (Å): 7.4677 7.5388 7.8610
angles (deg): 90.00 90.00 90.00
Closest atoms and distances in Å follow each position.
Space group Fmmm (No. 69)
Unique sites:
1 Be 0.0000 0.0000 0.2453  2 Pt 2.36, 2 Pd 2.42
2 Pd 0.0000 0.1799 0.5000  2 Be 2.42
3 Pd 0.2500 0.2500 0.2500  4 Be 2.65, 4 Pd 2.76, 4 Pt 2.77
4 Pt 0.1820 0.0000 0.0000  2 Be 2.36

***

First-principles (PBE) data for Pm2PuIr after structural relaxation, as listed in Alexandria.

Uncorrected energy in eV per atom: -8.38

a b c (Å): 3.5651 3.5651 8.5759
angles (deg): 90.00 90.00 90.00
Closest atoms and distances in Å follow each position.
Space group P4/mmm (No. 123)
Unique sites:
1 Pm 0.0000 0.0000 0.1950  4 Ir 3.03, 1 Pm 3.35
2 Pu 0.5000 0.5000 0.5000  4 Pu 3.57, 8 Pm 3.63
3 Ir 0.5000 0.5000 0.0000  8 Pm 3.03

***

First-principles (PBE) data for ErCd7Au4 after structural relaxation, as listed in Alexandria.

Uncorrected energy in eV per atom: -2.04

a b c (Å): 12.2045 5.4302 10.0996
angles (deg): 90.00 124.98 90.00
Closest atoms and distances in Å follow each position.
Space group C2/m (No. 12)
Unique sites:
1 Er 0.0000 0.0000 0.0000  2 Cd 2.72
2 Cd 0.0000 0.5000 0.0000  2 Er 2.72, 4 Au 2.78-2.84, 2 Cd 3.02
3 Cd 0.0637 0.0000 0.3638  3 Au 2.75-3.08, 2 Cd 2.82-3.08
4 Cd 0.1611 0.5000 0.5814  5 Au 2.75-3.08, 1 Cd 3.08
5 Cd 0.2114 0.0000 0.8883  2 Cd 2.82-3.02, 4 Au 2.84-3.05
6 Au 0.0734 0.5000 0.7788  8 Cd 2.75-3.08, 1 Au 2.95
7 Au 0.2077 0.5000 0.3266  6 Cd 2.75-3.02, 1 Au 2.95

***

First-principles (PBE) data for OsAuCl2 after structural relaxation, as listed in Alexandria.

Formation energy from raw total energies in meV per atom: 1187
Uncorrected energy in eV per atom: -3.36

a b c (Å): 4.2724 4.2724 8.0480
angles (deg): 90.00 90.00 90.00
Closest atoms and distances in Å follow each position.
Space group I4/mmm (No. 139)
Unique sites:
1 Os 0.0000 0.0000 0.0000  8 Cl 2.93, 4 Au 3.02
2 Au 0.0000 0.0000 0.5000  8 Cl 2.93, 4 Os 3.02
3 Cl 0.0000 0.5000 0.2500  4 Os 2.93, 4 Au 2.93, 4 Cl 3.02

***

First-principles (PBE) data for Pa3Co2Ru after structural relaxation, as listed in Alexandria.

Uncorrected energy in eV per atom: -9.00

a b c (Å): 12.3840 5.5430 7.3139
angles (deg): 90.00 109.56 90.00
Closest atoms and distances in Å follow each position.
Space group C2/c (No. 15)
Unique sites:
1 Pa 0.0000 0.0812 0.2500  2 Co 2.52, 2 Ru 2.74-2.81
2 Pa 0.1761 0.4261 0.6254  1 Ru 2.63, 4 Co 2.65-2.91
3 Co 0.1673 0.0828 0.0243  4 Pa 2.52-2.81
4 Ru 0.0000 0.4122 0.7500  4 Pa 2.63-2.81

***

First-principles (PBE) data for Hf2VMoN after structural relaxation, as listed in Alexandria.

Formation energy from raw total energies in meV per atom: -633
Uncorrected energy in eV per atom: -10.27

a b c (Å): 4.5352 4.5352 3.7839
angles (deg): 90.00 90.00 90.00
Closest atoms and distances in Å follow each position.
Space group P4/mmm (No. 123)
Unique sites:
1 Hf 0.0000 0.5000 0.0000  2 N 2.27
2 V 0.0000 0.0000 0.5000  2 N 1.89
3 Mo 0.5000 0.5000 0.5000  8 Hf 2.95, 4 V 3.21
4 N 0.0000 0.0000 0.0000  2 V 1.89

***

First-principles (PBE) data for Tm3PtPbS after structural relaxation, as listed in Alexandria.

Formation energy from raw total energies in meV per atom: -1050
Uncorrected energy in eV per atom: -5.60

a b c (Å): 7.2725 4.4842 9.6854
angles (deg): 90.00 111.98 90.00
Closest atoms and distances in Å follow each position.
Space group P2_1/m (No. 11)
Unique sites:
1 Tm 0.0336 0.2500 0.3535  3 Pt 2.72-2.92, 1 S 2.80
2 Tm 0.2521 0.2500 0.9848  3 S 2.71-2.72
3 Tm 0.4310 0.7500 0.6089  2 Pt 2.81, 1 S 2.81
4 Pt 0.2280 0.2500 0.6537  5 Tm 2.72-2.92, 2 S 2.96
5 Pb 0.2364 0.7500 0.2276  8 Tm 3.17-3.42
6 S 0.3474 0.7500 0.8695  5 Tm 2.71-2.81, 2 Pt 2.96